(1)
SCAN ScSiTe, single point on PBEsol structure; SG = No. 216
1.0
4.7059 0.0000 0.0000
2.3529 4.0754 0.0000
2.3529 1.3585 3.8423
Sc Si Te
1 1 1
Direct
0.2500 0.2500 0.2500
0.0000 0.0000 0.0000
0.5000 0.5000 0.5000

=====

(2)
SCAN NaSr2Tl2, single point on PBEsol structure; SG = No. 127; formation energy from the elements = -463 meV per atom
1.0
4.2712 0.0000 0.0000
0.0000 8.9768 0.0000
0.0000 0.0000 8.9768
Sr Tl Na
4 4 2
Direct
0.5000 0.1651 0.6651
0.5000 0.6651 0.8349
0.5000 0.8349 0.3349
0.5000 0.3349 0.1651
0.0000 0.3688 0.8688
0.0000 0.8688 0.6312
0.0000 0.6312 0.1312
0.0000 0.1312 0.3688
0.0000 0.0000 0.0000
0.0000 0.5000 0.5000

=====

How do the records compare in E? In the order shown, they have -20.589, -39.159 eV/atom.